Computed, not measured: AcPaBiO2 after structural relaxation at the PBE level of DFT.

Lattice parameters (Å, degrees): 4.068 4.068 13.470 90.00 90.00 90.00
Space group I4mm (No. 107)
Symmetry-distinct sites (fractional):
Ac1 0.000 0.000 0.000 (multiplicity 2)
Pa1 0.000 0.000 0.304 (multiplicity 2)
Bi1 0.000 0.000 0.659 (multiplicity 2)
O1 0.000 0.500 0.386 (multiplicity 4)

Values from the calculation:
Magnetic moment = 2.004 μB/cell
E_form (uncorrected) = -2463 meV per atom
Calculated volume = 111 Å³/f.u.
Mass density = 10.42 g/cm³